Material: Ca2PRh
Method: DFT, PBE-GGA
State: relaxed

Calculated values
DFT total energy in eV per atom: -4.76
DOS(E_F) in states/eV/cell: 1.25
SG: P4/mmm, No. 123
Crystal system: tetragonal

Cell: 4.557 4.557 3.883 Å, 90.00 90.00 90.00°
Fractional positions:
1 Ca 0.000 0.500 0.000
2 Ca 0.500 0.000 0.000
3 P 0.000 0.000 0.500
4 Rh 0.500 0.500 0.500

=====

Material: LiTb2NpTe5
Method: DFT, PBE-GGA
State: relaxed

Calculated values
DFT total energy in eV per atom: -5.45
DOS(E_F) in states/eV/cell: 18.55
SG: Cmc2_1, No. 36
Energy relative to the elements, uncorrected in meV per atom: -1021.6
Crystal system: orthorhombic

Cell: 9.456 9.456 13.274 Å, 90.00 90.00 153.51°
Fractional positions:
1 Li 0.054 0.946 0.500
2 Li 0.946 0.054 0.000
3 Tb 0.372 0.628 0.338
4 Tb 0.393 0.607 0.723
5 Tb 0.607 0.393 0.223
6 Tb 0.628 0.372 0.838
7 Np 0.301 0.699 0.046
8 Np 0.699 0.301 0.546
9 Te 0.003 0.997 0.819
10 Te 0.133 0.867 0.038
11 Te 0.187 0.813 0.379
12 Te 0.216 0.784 0.709
13 Te 0.454 0.546 0.114
14 Te 0.546 0.454 0.614
15 Te 0.784 0.216 0.209
16 Te 0.813 0.187 0.879
17 Te 0.867 0.133 0.538
18 Te 0.997 0.003 0.319

=====

Material: Sr2BeRe
Method: DFT, PBE-GGA
State: relaxed

Calculated values
DFT total energy in eV per atom: -3.78
DOS(E_F) in states/eV/cell: 3.39
SG: Pmmm, No. 47
Crystal system: orthorhombic

Cell: 3.051 3.806 8.351 Å, 90.00 90.00 90.00°
Fractional positions:
1 Sr 0.000 0.000 0.249
2 Sr 0.000 0.000 0.751
3 Be 0.500 0.500 0.500
4 Re 0.500 0.500 0.000

=====

Material: NaPmY2Tl4
Method: DFT, PBE-GGA
State: relaxed

Calculated values
DFT total energy in eV per atom: -3.87
DOS(E_F) in states/eV/cell: 4.59
SG: R-3m, No. 166
Crystal system: trigonal

Cell: 9.445 9.445 9.445 Å, 32.94 32.94 32.94°
Fractional positions:
1 Na 0.000 0.000 0.000
2 Pm 0.500 0.500 0.500
3 Y 0.254 0.254 0.254
4 Y 0.746 0.746 0.746
5 Tl 0.124 0.124 0.124
6 Tl 0.374 0.374 0.374
7 Tl 0.626 0.626 0.626
8 Tl 0.876 0.876 0.876

=====

Copy entry 4 word for word.
Material: NaPmY2Tl4
Method: DFT, PBE-GGA
State: relaxed

Calculated values
DFT total energy in eV per atom: -3.87
DOS(E_F) in states/eV/cell: 4.59
SG: R-3m, No. 166
Crystal system: trigonal

Cell: 9.445 9.445 9.445 Å, 32.94 32.94 32.94°
Fractional positions:
1 Na 0.000 0.000 0.000
2 Pm 0.500 0.500 0.500
3 Y 0.254 0.254 0.254
4 Y 0.746 0.746 0.746
5 Tl 0.124 0.124 0.124
6 Tl 0.374 0.374 0.374
7 Tl 0.626 0.626 0.626
8 Tl 0.876 0.876 0.876

=====

Question: Among the records above, which one has the highest DOS(E_F)?
Answer: LiTb2NpTe5

=====

Question: The lowest DFT total energy belongs to which entry?
Answer: LiTb2NpTe5

=====

Question: Look up the DOS(E_F) of the third one.
Answer: 3.39 states/eV/cell